[1]
{
  "formula": "CaTc2Os",
  "functional": "PBE-GGA",
  "state": "optimized geometry",
  "formation_enthalpy_0k_kj_per_mol_atoms": 73.71,
  "vol_a3_per_fu": 78.1,
  "density_g_cm3": 9.06,
  "lattice": [[7.4825, 0.0000, 0.0000], [0.0000, 7.4825, 0.0000], [3.7413, 3.7413, 2.7907]],
  "species": ["Ca", "Ca", "Os", "Os", "Tc", "Tc", "Tc", "Tc"],
  "fractional_positions": [[0.5000, 0.5000, 0.0000], [0.2500, 0.7500, 0.5000], [0.0000, 0.0000, 0.0000], [0.7500, 0.2500, 0.5000], [0.6872, 0.1250, 0.2500], [0.0628, 0.6250, 0.2500], [0.3750, 0.3128, 0.7500], [0.8750, 0.9372, 0.7500]]
}



[2]
{
  "formula": "CaTc2Os",
  "functional": "PBE-GGA",
  "state": "optimized geometry",
  "formation_enthalpy_0k_kj_per_mol_atoms": 66.44,
  "vol_a3_per_fu": 65.6,
  "density_g_cm3": 10.79,
  "lattice": [[5.2742, -0.2147, 0.0000], [-2.2744, 4.7635, 0.0000], [0.0000, 0.0000, 2.6629]],
  "species": ["Ca", "Os", "Tc", "Tc"],
  "fractional_positions": [[0.5000, 0.0000, 0.5000], [0.0000, 0.5000, 0.5000], [0.0000, 0.0000, 0.0000], [0.5000, 0.5000, 0.0000]]
}



[3]
{
  "formula": "CaTc2Os",
  "functional": "PBE-GGA",
  "state": "optimized geometry",
  "formation_enthalpy_0k_kj_per_mol_atoms": 53.36,
  "vol_a3_per_fu": 64.7,
  "density_g_cm3": 10.94,
  "lattice": [[-1.8799, -1.0256, 3.9643], [1.3375, -3.6703, 2.2452], [2.3820, 0.4274, 3.8006]],
  "species": ["Ca", "Os", "Tc", "Tc"],
  "fractional_positions": [[0.5000, 0.5000, 0.5000], [0.7500, 0.7500, 0.7500], [0.0000, 0.0000, 0.0000], [0.2500, 0.2500, 0.2500]]
}